# 1
Crystalline Np3In5Bi12 at its relaxed geometry, computed with GGA-PBE.

Computed properties:
E_form = 0.229 eV per atom
V = 774.80 Å³/f.u.
N(E_F) = 43.08 states/eV/f.u.
total magnetic moment = 10.950 μB/f.u.
SG = Ia-3d (230)

a b c (Å): 15.908 15.908 15.908
angles (deg): 109.47 109.47 109.47
Positions (direct):
Np1 0.125 0.250 0.375
Np2 0.125 0.375 0.750
Np3 0.250 0.375 0.125
Np4 0.250 0.875 0.625
Np5 0.375 0.125 0.250
Np6 0.375 0.750 0.125
Np7 0.625 0.250 0.875
Np8 0.625 0.875 0.750
Np9 0.750 0.125 0.375
Np10 0.750 0.625 0.875
Np11 0.875 0.625 0.250
Np12 0.875 0.750 0.625
In1 0.000 0.000 0.000
In2 0.000 0.000 0.500
In3 0.000 0.500 0.000
In4 0.000 0.500 0.500
In5 0.125 0.750 0.875
In6 0.125 0.875 0.250
In7 0.250 0.125 0.875
In8 0.250 0.625 0.375
In9 0.375 0.250 0.625
In10 0.375 0.625 0.750
In11 0.500 0.000 0.000
In12 0.500 0.000 0.500
In13 0.500 0.500 0.000
In14 0.500 0.500 0.500
In15 0.625 0.375 0.250
In16 0.625 0.750 0.375
In17 0.750 0.375 0.625
In18 0.750 0.875 0.125
In19 0.875 0.125 0.750
In20 0.875 0.250 0.125
Bi1 0.067 0.241 0.148
Bi2 0.067 0.327 0.919
Bi3 0.081 0.648 0.408
Bi4 0.081 0.933 0.673
Bi5 0.092 0.741 0.673
Bi6 0.092 0.852 0.419
Bi7 0.148 0.067 0.241
Bi8 0.148 0.581 0.908
Bi9 0.173 0.241 0.592
Bi10 0.173 0.433 0.581
Bi11 0.241 0.148 0.067
Bi12 0.241 0.592 0.173
Bi13 0.259 0.327 0.908
Bi14 0.259 0.433 0.352
Bi15 0.327 0.908 0.259
Bi16 0.327 0.919 0.067
Bi17 0.352 0.259 0.433
Bi18 0.352 0.592 0.919
Bi19 0.408 0.081 0.648
Bi20 0.408 0.827 0.759
Bi21 0.419 0.092 0.852
Bi22 0.419 0.827 0.567
Bi23 0.433 0.352 0.259
Bi24 0.433 0.581 0.173
Bi25 0.567 0.419 0.827
Bi26 0.567 0.648 0.741
Bi27 0.581 0.173 0.433
Bi28 0.581 0.908 0.148
Bi29 0.592 0.173 0.241
Bi30 0.592 0.919 0.352
Bi31 0.648 0.408 0.081
Bi32 0.648 0.741 0.567
Bi33 0.673 0.081 0.933
Bi34 0.673 0.092 0.741
Bi35 0.741 0.567 0.648
Bi36 0.741 0.673 0.092
Bi37 0.759 0.408 0.827
Bi38 0.759 0.852 0.933
Bi39 0.827 0.567 0.419
Bi40 0.827 0.759 0.408
Bi41 0.852 0.419 0.092
Bi42 0.852 0.933 0.759
Bi43 0.908 0.148 0.581
Bi44 0.908 0.259 0.327
Bi45 0.919 0.067 0.327
Bi46 0.919 0.352 0.592
Bi47 0.933 0.673 0.081
Bi48 0.933 0.759 0.852

---

# 2
Crystalline NpIn2Bi at its relaxed geometry, computed with GGA-PBE.

Computed properties:
E_form = 0.179 eV per atom
V = 109.68 Å³/f.u.
N(E_F) = 8.71 states/eV/f.u.
total magnetic moment = 4.828 μB/f.u.
SG = P4/mmm (123)

a b c (Å): 4.002 4.002 6.847
angles (deg): 90.00 90.00 90.00
Positions (direct):
Np1 0.000 0.000 0.000
In1 0.500 0.500 0.262
In2 0.500 0.500 0.738
Bi1 0.000 0.000 0.500

---

# 3
Crystalline NpIn2Bi4 at its relaxed geometry, computed with GGA-PBE.

Computed properties:
E_form = 0.016 eV per atom
V = 215.08 Å³/f.u.
N(E_F) = 13.84 states/eV/f.u.
total magnetic moment = 4.244 μB/f.u.
SG = Cmmm (65)

a b c (Å): 6.617 6.617 4.925
angles (deg): 90.00 90.00 93.96
Positions (direct):
Np1 0.000 0.000 0.000
In1 0.244 0.756 0.500
In2 0.756 0.244 0.500
Bi1 0.000 0.500 0.000
Bi2 0.272 0.272 0.500
Bi3 0.500 0.000 0.000
Bi4 0.728 0.728 0.500

---

# 4
Crystalline NpInBi3 at its relaxed geometry, computed with GGA-PBE.

Computed properties:
E_form = 0.175 eV per atom
V = 152.91 Å³/f.u.
N(E_F) = 6.87 states/eV/f.u.
total magnetic moment = 2.328 μB/f.u.
SG = R-3 (148)

a b c (Å): 6.738 6.738 6.738
angles (deg): 89.55 89.55 89.55
Positions (direct):
Np1 0.100 0.100 0.100
Np2 0.900 0.900 0.900
In1 0.380 0.380 0.380
In2 0.620 0.620 0.620
Bi1 0.030 0.773 0.441
Bi2 0.227 0.559 0.970
Bi3 0.441 0.030 0.773
Bi4 0.559 0.970 0.227
Bi5 0.773 0.441 0.030
Bi6 0.970 0.227 0.559

---

# 5
Crystalline NpIn2Bi at its relaxed geometry, computed with GGA-PBE.

Computed properties:
E_form = -0.028 eV per atom
V = 106.13 Å³/f.u.
N(E_F) = 10.98 states/eV/f.u.
total magnetic moment = 4.348 μB/f.u.
SG = P4/mmm (123)

a b c (Å): 4.592 4.592 5.033
angles (deg): 90.00 90.00 90.00
Positions (direct):
Np1 0.000 0.000 0.000
In1 0.000 0.500 0.500
In2 0.500 0.000 0.500
Bi1 0.500 0.500 0.000

---

# 6
Crystalline NpIn2BiO8 at its relaxed geometry, computed with GGA-PBE.

Computed properties:
V = 174.77 Å³/f.u.
formation energy without anion corrections = -1.807 eV per atom
N(E_F) = 4.24 states/eV/f.u.
total magnetic moment = 0.818 μB/f.u.
SG = Cmmm (65)

a b c (Å): 5.034 5.034 6.897
angles (deg): 90.00 90.00 91.07
Positions (direct):
Np1 0.000 0.000 0.000
In1 0.500 0.500 0.249
In2 0.500 0.500 0.751
Bi1 0.000 0.000 0.500
O1 0.190 0.810 0.220
O2 0.190 0.810 0.780
O3 0.298 0.298 0.000
O4 0.317 0.317 0.500
O5 0.683 0.683 0.500
O6 0.702 0.702 0.000
O7 0.810 0.190 0.220
O8 0.810 0.190 0.780